Version 1
DFT (GGA-PBE) results for NaTiIn2 after structural relaxation. Values from VASP.

Summary:
Total magnetic moment ... 0.722 μB/cell
DOS at the Fermi energy ... 1.57 states/eV/cell
Crystal system ... tetragonal

Structure (Quantum ESPRESSO input):
```
&SYSTEM
  ibrav = 0, nat = 4, ntyp = 3
/
ATOMIC_SPECIES
Na 22.99 Na.upf
Ti 47.87 Ti.upf
In 114.82 In.upf
ATOMIC_POSITIONS crystal
Na 0.5000 0.5000 0.5000
Ti 0.5000 0.0000 0.0000
In 0.0000 0.0000 0.5000
In 0.0000 0.5000 0.0000
CELL_PARAMETERS angstrom
-0.8383 0.5935 2.9659
4.1125 -2.7419 1.7110
2.9144 4.3431 -0.0453
```

---

Version 2
DFT (GGA-PBE) results for NaTiIn2 after structural relaxation. Values from VASP.

Summary:
Total magnetic moment ... 0.000 μB/cell
DOS at the Fermi energy ... 4.51 states/eV/cell
Crystal system ... cubic

Structure (Quantum ESPRESSO input):
```
&SYSTEM
  ibrav = 0, nat = 4, ntyp = 3
/
ATOMIC_SPECIES
Na 22.99 Na.upf
Ti 47.87 Ti.upf
In 114.82 In.upf
ATOMIC_POSITIONS crystal
Na 0.0000 0.0000 0.0000
Ti 0.5000 0.5000 0.5000
In 0.2500 0.2500 0.2500
In 0.7500 0.7500 0.7500
CELL_PARAMETERS angstrom
1.1701 -2.9803 3.8197
-0.0841 1.7700 4.6585
-3.5431 -1.4953 3.1704
```

---

Most stable of them? version 1.

---

Version 1
DFT (GGA-PBE) results for Na3Tl5In2 after structural relaxation. Values from VASP.

Summary:
Total magnetic moment ... 0.000 μB/cell
DOS at the Fermi energy ... 10.38 states/eV/cell
Crystal system ... orthorhombic

Structure (Quantum ESPRESSO input):
```
&SYSTEM
  ibrav = 0, nat = 20, ntyp = 3
/
ATOMIC_SPECIES
Na 22.99 Na.upf
Tl 204.38 Tl.upf
In 114.82 In.upf
ATOMIC_POSITIONS crystal
Na 0.2500 0.0000 0.0000
Na 0.7500 0.0000 0.0000
Na 0.6276 0.4090 0.2553
Na 0.3724 0.5910 0.7447
Na 0.1276 0.8463 0.2553
Na 0.8724 0.1537 0.7447
Tl 0.2500 0.5000 0.0000
Tl 0.7500 0.5000 0.0000
Tl 0.0046 0.7546 0.5091
Tl 0.4954 0.2454 0.4909
Tl 0.9954 0.2454 0.4909
Tl 0.5046 0.7546 0.5091
Tl 0.8683 0.4912 0.7365
Tl 0.1317 0.5088 0.2635
Tl 0.3683 0.2453 0.7365
Tl 0.6317 0.7547 0.2635
In 0.8790 0.8205 0.7580
In 0.1210 0.1795 0.2420
In 0.3790 0.9375 0.7580
In 0.6210 0.0625 0.2420
CELL_PARAMETERS angstrom
10.0063 0.0001 -3.8035
-1.3117 8.6484 -3.4513
-2.2299 -1.7799 9.1982
```

---

Version 2
DFT (GGA-PBE) results for Na3Tl5In2 after structural relaxation. Values from VASP.

Summary:
Total magnetic moment ... 0.000 μB/cell
DOS at the Fermi energy ... 7.90 states/eV/cell
Crystal system ... orthorhombic

Structure (Quantum ESPRESSO input):
```
&SYSTEM
  ibrav = 0, nat = 20, ntyp = 3
/
ATOMIC_SPECIES
Na 22.99 Na.upf
Tl 204.38 Tl.upf
In 114.82 In.upf
ATOMIC_POSITIONS crystal
Na 0.2500 0.0000 0.0000
Na 0.7500 0.0000 0.0000
Na 0.3813 0.3749 0.8624
Na 0.6187 0.6251 0.1376
Na 0.8813 0.8624 0.3749
Na 0.1187 0.1376 0.6251
Tl 0.2500 0.5000 0.5000
Tl 0.7500 0.5000 0.5000
Tl 0.4893 0.7607 0.7607
Tl 0.0107 0.2393 0.2393
Tl 0.5107 0.2393 0.2393
Tl 0.9893 0.7607 0.7607
Tl 0.1380 0.5090 0.2150
Tl 0.8620 0.4910 0.7850
Tl 0.6380 0.2150 0.5090
Tl 0.3620 0.7850 0.4910
In 0.1229 0.7280 0.0261
In 0.8771 0.2720 0.9739
In 0.6229 0.0261 0.7280
In 0.3771 0.9739 0.2720
CELL_PARAMETERS angstrom
-0.0277 0.2171 -6.8156
-6.7420 -6.9799 -3.6063
-6.5437 7.3782 -3.1497
```

---

Most stable of them? version 1.

---

Version 1
DFT (GGA-PBE) results for Na2Tl2In after structural relaxation. Values from VASP.

Summary:
Total magnetic moment ... 0.000 μB/cell
DOS at the Fermi energy ... 1.40 states/eV/cell
Crystal system ... monoclinic

Structure (Quantum ESPRESSO input):
```
&SYSTEM
  ibrav = 0, nat = 5, ntyp = 3
/
ATOMIC_SPECIES
Na 22.99 Na.upf
Tl 204.38 Tl.upf
In 114.82 In.upf
ATOMIC_POSITIONS crystal
Na 0.2032 0.2075 0.3861
Na 0.7968 0.7925 0.6139
Tl 0.5995 0.6001 0.2009
Tl 0.4005 0.3999 0.7991
In 0.0000 0.0000 0.0000
CELL_PARAMETERS angstrom
-4.3491 2.8066 -1.6345
-4.6911 -0.6138 2.4152
-1.8511 4.7406 4.0526
```

---

Version 2
DFT (GGA-PBE) results for Na2Tl2In after structural relaxation. Values from VASP.

Summary:
Total magnetic moment ... 0.000 μB/cell
DOS at the Fermi energy ... 3.97 states/eV/cell
Crystal system ... tetragonal

Structure (Quantum ESPRESSO input):
```
&SYSTEM
  ibrav = 0, nat = 10, ntyp = 3
/
ATOMIC_SPECIES
Na 22.99 Na.upf
Tl 204.38 Tl.upf
In 114.82 In.upf
ATOMIC_POSITIONS crystal
Na 0.3663 0.8663 0.0000
Na 0.8663 0.6337 0.0000
Na 0.6337 0.1337 0.0000
Na 0.1337 0.3663 0.0000
Tl 0.1658 0.6658 0.5000
Tl 0.6658 0.8342 0.5000
Tl 0.8342 0.3342 0.5000
Tl 0.3342 0.1658 0.5000
In 0.0000 0.0000 0.0000
In 0.5000 0.5000 0.0000
CELL_PARAMETERS angstrom
-8.5281 2.0155 1.7916
-1.0194 -7.9109 4.0470
1.0001 1.4640 3.1138
```

---

Most stable of them? version 1.